Record 1
A relaxed Ba3Na2In2Au4 crystal, computed with PBE-GGA.

Energy relative to the elements ... -0.502 eV/atom
Raw total energy ... -32.5 eV for the cell shown
Space group ... P-3m1

Cell: 4.974 4.974 16.451 Å, 90.00 90.00 120.00°
Atoms (fractional coordinates):
Ba 0.000 0.000 0.000
Ba 0.000 0.000 0.268
Ba 0.000 0.000 0.732
Na 0.333 0.667 0.556
Na 0.667 0.333 0.444
In 0.333 0.667 0.139
In 0.667 0.333 0.861
Au 0.333 0.667 0.371
Au 0.333 0.667 0.865
Au 0.667 0.333 0.135
Au 0.667 0.333 0.629

---

Record 2
A relaxed Si2AgOs crystal, computed with PBE-GGA.

Excess energy over the best structure of this formula in the dataset ... 420 meV per atom
Raw total energy ... -46.2 eV for the cell shown
Space group ... Cmm2
Uncorrected formation energy ... 0.4517 eV per atom

Cell: 2.920 4.845 8.728 Å, 90.00 90.00 90.00°
Atoms (fractional coordinates):
Si 0.000 0.000 0.000
Si 0.000 0.500 0.237
Si 0.500 0.000 0.237
Si 0.500 0.500 0.000
Ag 0.000 0.500 0.735
Ag 0.500 0.000 0.735
Os 0.000 0.000 0.448
Os 0.500 0.500 0.448

---

Record 3
A relaxed TlNi2Pb crystal, computed with PBE-GGA.

Energy relative to the elements ... 0.252 eV/atom
Raw total energy ... -16.6 eV for the cell shown
Space group ... P4mm

Cell: 3.247 3.247 7.549 Å, 90.00 90.00 90.00°
Atoms (fractional coordinates):
Tl 0.000 0.000 0.000
Ni 0.000 0.000 0.367
Ni 0.500 0.500 0.234
Pb 0.500 0.500 0.597

---

Q: What is the raw total energy in the first record?
A: -32.5 eV for the cell shown